# PBE-GGA NaGeAu4, relaxed
# ΔE_f	-0.4	eV per formula unit
# DOS at the Fermi energy	3.6	states/eV/cell
# polymorph energy (0 for the lowest one)	0	meV per atom
# final energy	-38.95	eV per cell
# spin magnetization	0.00	Bohr magnetons per cell
data_NaGeAu4
_space_group_name_H-M_alt 'P 1'
_space_group_IT_number 1
_cell_length_a 5.356
_cell_length_b 4.928
_cell_length_c 9.398
_cell_angle_alpha 104.63
_cell_angle_beta 106.42
_cell_angle_gamma 90.11
loop_
_space_group_symop_operation_xyz
'x,y,z'
loop_
_atom_site_label
_atom_site_type_symbol
_atom_site_fract_x
_atom_site_fract_y
_atom_site_fract_z
Au1 Au 0.562 0.162 0.822
Au2 Au 0.345 0.417 0.336
Au3 Au 0.009 0.083 0.664
Au4 Au 0.259 0.663 0.822
Au5 Au 0.741 0.337 0.178
Au6 Au 0.655 0.583 0.664
Au7 Au 0.438 0.838 0.178
Au8 Au 0.991 0.917 0.336
Na1 Na 0.169 0.250 0.000
Na2 Na 0.831 0.750 0.000
Ge1 Ge 0.000 0.500 0.500
Ge2 Ge 0.500 0.000 0.500